Record 1
# BeIrRh2 (PBE, relaxed)
data_BeIrRh2
_chemical_formula_sum 'Be2 Ir2 Rh4'
_cell_length_a 2.737
_cell_length_b 4.637
_cell_length_c 8.315
_cell_angle_alpha 90.00
_cell_angle_beta 90.00
_cell_angle_gamma 90.00
_space_group_name_H-M_alt 'C m m m'
_space_group_IT_number 65
_space_group_name_Hall '-C 2 2'
loop_
_atom_site_label
_atom_site_fract_x
_atom_site_fract_y
_atom_site_fract_z
Be1 0.000 0.000 0.000
Ir1 0.000 0.000 0.500
Rh1 0.000 0.500 0.218
# - DOS(E_F): 8.2 states/eV per cell
# - M_tot: 0.0 μB/f.u.
# - Electronic total energy: -6.81 eV per atom
# - E_form: 13 meV per atom


Record 2
# BeIrRh2 (PBE, relaxed)
data_BeIrRh2
_chemical_formula_sum 'Be3 Ir3 Rh6'
_cell_length_a 2.7235
_cell_length_b 2.7235
_cell_length_c 24.2391
_cell_angle_alpha 90.00
_cell_angle_beta 90.00
_cell_angle_gamma 120.00
_space_group_name_H-M_alt 'R -3 m'
_space_group_IT_number 166
_space_group_name_Hall '-R 3 2"'
loop_
_atom_site_label
_atom_site_fract_x
_atom_site_fract_y
_atom_site_fract_z
Be1 0.0000 0.0000 0.0000
Ir1 0.0000 0.0000 0.5000
Rh1 0.0000 0.0000 0.2587
# - DOS(E_F): 12.6 states/eV per cell
# - M_tot: 0.0 μB/f.u.
# - Electronic total energy: -6.95 eV per atom
# - E_form: -124 meV per atom


Record 3
# BeIrRh2 (PBE, relaxed)
data_BeIrRh2
_chemical_formula_sum 'Be1 Ir1 Rh2'
_cell_length_a 2.723
_cell_length_b 3.903
_cell_length_c 5.039
_cell_angle_alpha 90.00
_cell_angle_beta 102.98
_cell_angle_gamma 90.00
_space_group_name_H-M_alt 'P 1 2/m 1'
_space_group_IT_number 10
loop_
_space_group_symop_operation_xyz
'x,y,z'
'-x,-y,-z'
'-x,y,-z'
'x,-y,z'
loop_
_atom_site_label
_atom_site_fract_x
_atom_site_fract_y
_atom_site_fract_z
Be1 0.000 0.000 0.000
Ir1 0.000 0.000 0.500
Rh1 0.376 0.500 0.235
# - DOS(E_F): 4.3 states/eV per cell
# - M_tot: 0.0 μB/f.u.
# - Electronic total energy: -6.95 eV per atom
# - E_form: -132 meV per atom


Record 4
# BeSiIrRh (PBE, relaxed)
data_BeSiIrRh
_chemical_formula_sum 'Be4 Si4 Ir4 Rh4'
_cell_length_a 5.764
_cell_length_b 5.764
_cell_length_c 5.764
_cell_angle_alpha 90.00
_cell_angle_beta 90.00
_cell_angle_gamma 90.00
_space_group_name_H-M_alt 'F -4 3 m'
_space_group_IT_number 216
_space_group_name_Hall 'F -4 2 3'
loop_
_atom_site_label
_atom_site_fract_x
_atom_site_fract_y
_atom_site_fract_z
Be1 0.000 0.000 0.000
Si1 0.000 0.000 0.500
Ir1 0.250 0.250 0.750
Rh1 0.250 0.250 0.250
# - DOS(E_F): 4.9 states/eV per cell
# - M_tot: 0.0 μB/f.u.
# - E_form (uncorrected): -0.75 eV per atom
# - Electronic total energy: -7.09 eV per atom